Entry 1:
The following is a PBE calculation of a relaxed Pm4Pr5Y crystal, from the Alexandria database.

Computed properties:
The total energy comes out at -4.923 eV per atom. The formation energy from the elements is 0.013 eV per atom. For the excess energy over the best structure of this formula in the dataset, the calculation gives 0 meV/atom.

Unit cell a=13.2599 b=13.2599 c=7.3447 alpha=97.91 beta=97.91 gamma=15.96
Sites, in units of the cell vectors:
Pm 0.0995 0.0995 0.2980
Pm 0.3004 0.3004 0.9007
Pm 0.6996 0.6996 0.0993
Pm 0.9005 0.9005 0.7020
Pr 0.0994 0.0994 0.8026
Pr 0.3001 0.3001 0.3990
Pr 0.5000 0.5000 0.5000
Pr 0.6999 0.6999 0.6010
Pr 0.9006 0.9006 0.1974
Y 0.5000 0.5000 0.0000

---

Entry 2:
The following is a PBE calculation of a relaxed Pm7PrY12 crystal, from the Alexandria database.

Computed properties:
The total energy comes out at -5.511 eV per atom. The formation energy from the elements is 0.269 eV per atom. For the excess energy over the best structure of this formula in the dataset, the calculation gives 0 meV/atom.

Unit cell a=8.8005 b=8.8005 c=8.8005 alpha=95.20 beta=95.20 gamma=95.20
Sites, in units of the cell vectors:
Pm 0.0000 0.0000 0.0000
Pm 0.1443 0.4149 0.4810
Pm 0.4149 0.4810 0.1443
Pm 0.4810 0.1443 0.4149
Pm 0.5190 0.8557 0.5851
Pm 0.5851 0.5190 0.8557
Pm 0.8557 0.5851 0.5190
Pr 0.5000 0.5000 0.5000
Y 0.0194 0.0843 0.3525
Y 0.0843 0.3525 0.0194
Y 0.1824 0.7506 0.3137
Y 0.2494 0.6863 0.8176
Y 0.3137 0.1824 0.7506
Y 0.3525 0.0194 0.0843
Y 0.6475 0.9806 0.9157
Y 0.6863 0.8176 0.2494
Y 0.7506 0.3137 0.1824
Y 0.8176 0.2494 0.6863
Y 0.9157 0.6475 0.9806
Y 0.9806 0.9157 0.6475

---

Entry 3:
The following is a PBE calculation of a relaxed Pm3Pr2Y2 crystal, from the Alexandria database.

Computed properties:
The total energy comes out at -5.238 eV per atom. The formation energy from the elements is 0.010 eV per atom. For the excess energy over the best structure of this formula in the dataset, the calculation gives 0 meV/atom.

Unit cell a=12.0512 b=3.6516 c=10.9557 alpha=90.00 beta=95.80 gamma=90.00
Sites, in units of the cell vectors:
Pm 0.0000 0.0000 0.0000
Pm 0.1425 0.0000 0.5704
Pm 0.3575 0.5000 0.4296
Pm 0.5000 0.5000 0.0000
Pm 0.6425 0.5000 0.5704
Pm 0.8575 0.0000 0.4296
Pr 0.2154 0.5000 0.8559
Pr 0.2846 0.0000 0.1441
Pr 0.7154 0.0000 0.8559
Pr 0.7846 0.5000 0.1441
Y 0.0703 0.5000 0.2878
Y 0.4297 0.0000 0.7122
Y 0.5703 0.0000 0.2878
Y 0.9297 0.5000 0.7122

---

Entry 4:
The following is a PBE calculation of a relaxed PmPr5Y12 crystal, from the Alexandria database.

Computed properties:
The total energy comes out at -5.880 eV per atom. The formation energy from the elements is 0.021 eV per atom.

Unit cell a=10.8385 b=5.1215 c=10.8502 alpha=90.00 beta=90.17 gamma=90.00
Sites, in units of the cell vectors:
Pm 0.0000 0.0000 0.0000
Pr 0.1661 0.5000 0.8340
Pr 0.3333 0.0000 0.6667
Pr 0.5000 0.5000 0.5000
Pr 0.6667 0.0000 0.3333
Pr 0.8339 0.5000 0.1660
Y 0.0013 0.0000 0.3340
Y 0.1651 0.5000 0.4987
Y 0.1674 0.5000 0.1673
Y 0.3318 0.0000 0.3319
Y 0.3341 0.0000 0.0012
Y 0.4986 0.5000 0.1652
Y 0.5014 0.5000 0.8348
Y 0.6659 0.0000 0.9988
Y 0.6682 0.0000 0.6681
Y 0.8326 0.5000 0.8327
Y 0.8349 0.5000 0.5013
Y 0.9987 0.0000 0.6660

---

Entry 5:
The following is a PBE calculation of a relaxed PmPr2Y8 crystal, from the Alexandria database.

Computed properties:
The total energy comes out at -5.848 eV per atom. The formation energy from the elements is 0.154 eV per atom. For the excess energy over the best structure of this formula in the dataset, the calculation gives 0 meV/atom.

Unit cell a=9.2565 b=9.2565 c=5.9629 alpha=105.04 beta=105.04 gamma=121.03
Sites, in units of the cell vectors:
Pm 0.0000 0.0000 0.0000
Pr 0.3054 0.6946 0.5000
Pr 0.6946 0.3054 0.5000
Y 0.0988 0.3286 0.6658
Y 0.2095 0.7905 0.0000
Y 0.3286 0.0988 0.6658
Y 0.4231 0.4231 0.2032
Y 0.5769 0.5769 0.7968
Y 0.6714 0.9012 0.3342
Y 0.7905 0.2095 0.0000
Y 0.9012 0.6714 0.3342

---

Entry 6:
The following is a PBE calculation of a relaxed Pm3PrY5 crystal, from the Alexandria database.

Computed properties:
The total energy comes out at -5.648 eV per atom. The formation energy from the elements is 0.058 eV per atom.

Unit cell a=9.8765 b=9.8765 c=7.1132 alpha=90.00 beta=90.00 gamma=120.00
Sites, in units of the cell vectors:
Pm 0.0000 0.3494 0.2500
Pm 0.0000 0.6506 0.7500
Pm 0.3494 0.0000 0.2500
Pm 0.3494 0.3494 0.7500
Pm 0.6506 0.0000 0.7500
Pm 0.6506 0.6506 0.2500
Pr 0.0000 0.0000 0.0000
Pr 0.0000 0.0000 0.5000
Y 0.0000 0.3222 0.7500
Y 0.0000 0.6778 0.2500
Y 0.3222 0.0000 0.7500
Y 0.3222 0.3222 0.2500
Y 0.3333 0.6667 0.0000
Y 0.3333 0.6667 0.5000
Y 0.6667 0.3333 0.0000
Y 0.6667 0.3333 0.5000
Y 0.6778 0.0000 0.2500
Y 0.6778 0.6778 0.7500

---

Entry 7:
The following is a PBE calculation of a relaxed Pm5PrY2 crystal, from the Alexandria database.

Computed properties:
The total energy comes out at -5.170 eV per atom. The formation energy from the elements is 0.013 eV per atom. For the excess energy over the best structure of this formula in the dataset, the calculation gives 0 meV/atom.

Unit cell a=7.2813 b=14.5649 c=5.1348 alpha=90.00 beta=90.00 gamma=90.00
Sites, in units of the cell vectors:
Pm 0.0000 0.0000 0.0000
Pm 0.0008 0.2495 0.0000
Pm 0.2490 0.8745 0.5000
Pm 0.2510 0.3745 0.5000
Pm 0.4992 0.7495 0.0000
Pm 0.5000 0.5000 0.0000
Pm 0.5008 0.2505 0.0000
Pm 0.7490 0.6255 0.5000
Pm 0.7510 0.1255 0.5000
Pm 0.9992 0.7505 0.0000
Pr 0.0000 0.5000 0.0000
Pr 0.5000 0.0000 0.0000
Y 0.2502 0.1254 0.5000
Y 0.2498 0.6254 0.5000
Y 0.7502 0.3746 0.5000
Y 0.7498 0.8746 0.5000

---

Entry 8:
The following is a PBE calculation of a relaxed Pm4Pr8Y3 crystal, from the Alexandria database.

Computed properties:
The total energy comes out at -4.980 eV per atom. The formation energy from the elements is 0.129 eV per atom.

Unit cell a=12.8124 b=12.8124 c=12.8124 alpha=32.32 beta=32.32 gamma=32.32
Sites, in units of the cell vectors:
Pm 0.0000 0.0000 0.0000
Pm 0.1639 0.1639 0.1639
Pm 0.5000 0.5000 0.5000
Pm 0.8361 0.8361 0.8361
Pr 0.2498 0.2498 0.7479
Pr 0.2498 0.7479 0.2498
Pr 0.2521 0.7502 0.7502
Pr 0.2538 0.2538 0.2538
Pr 0.7462 0.7462 0.7462
Pr 0.7479 0.2498 0.2498
Pr 0.7502 0.2521 0.7502
Pr 0.7502 0.7502 0.2521
Y 0.0000 0.5000 0.5000
Y 0.5000 0.0000 0.5000
Y 0.5000 0.5000 0.0000